Record 1
BaYH3: optimized geometry, GGA-PBEsol.

Summary:
- VASP energy (eV/cell) = -20.743

Cell: 4.3550 4.3550 4.3550 Å, 90.00 90.00 90.00°
Last column: magnetic moment on the atom in μB.
Element x y z (fractional)
H 0.0000 0.5000 0.0000  -0.01
H 0.0000 0.0000 0.5000  -0.01
H 0.5000 0.0000 0.0000  -0.01
Ba 0.5000 0.5000 0.5000  0.13
Y 0.0000 0.0000 0.0000  0.30

***

Record 2
Mg5Ag24: optimized geometry, GGA-PBEsol.

Summary:
- ΔE_f (eV/atom) = -0.051
- VASP energy (eV/cell) = -89.521

Cell: 8.6932 8.6932 8.6932 Å, 109.47 109.47 109.47°
Element x y z (fractional)
Ag 0.8088 0.1874 0.8088
Ag 0.3786 0.0000 0.1912
Ag 0.7256 0.3145 0.3145
Ag 0.1874 0.8088 0.8088
Ag 0.4111 0.0000 0.6855
Ag 0.8126 0.6214 0.6214
Ag 0.1912 0.3786 0.0000
Ag 0.5889 0.2744 0.5889
Ag 0.8088 0.8088 0.1874
Ag 0.5889 0.5889 0.2744
Ag 0.0000 0.3786 0.1912
Ag 0.6214 0.8126 0.6214
Ag 0.6214 0.6214 0.8126
Ag 0.3145 0.3145 0.7256
Ag 0.0000 0.1912 0.3786
Ag 0.4111 0.6855 0.0000
Ag 0.0000 0.6855 0.4111
Ag 0.6855 0.0000 0.4111
Ag 0.2744 0.5889 0.5889
Ag 0.6855 0.4111 0.0000
Ag 0.3786 0.1912 0.0000
Ag 0.0000 0.4111 0.6855
Ag 0.1912 0.0000 0.3786
Ag 0.3145 0.7256 0.3145
Mg 0.6336 0.0000 0.0000
Mg 0.3664 0.3664 0.3664
Mg 0.0000 0.0000 0.6336
Mg 0.0000 0.0000 0.0000
Mg 0.0000 0.6336 0.0000